The following is a DFT calculation (PBE-GGA) of an optimized crystal structure of BaNiTe.

Values from the calculation:
magnetic moment: 0.0 μB/cell
Fermi-level density of states: 2.32 states/eV/f.u.
electronic total energy: -23.6 eV/cell

Structure (CIF):
```
data_BaNiTe
_cell_length_a 4.589
_cell_length_b 4.589
_cell_length_c 9.467
_cell_angle_alpha 90.00
_cell_angle_beta 90.00
_cell_angle_gamma 90.00
_symmetry_space_group_name_H-M 'I 4 m m'
_symmetry_Int_Tables_number 107
_symmetry_space_group_name_Hall 'I 4 -2'
loop_
_atom_site_label
_atom_site_type_symbol
_atom_site_fract_x
_atom_site_fract_y
_atom_site_fract_z
_atom_site_occupancy
Ba1 Ba 0.000 0.000 0.000 1
Ni1 Ni 0.000 0.000 0.395 1
Te1 Te 0.000 0.000 0.647 1
```

=====

The following is a DFT calculation (PBE-GGA) of an optimized crystal structure of TiInRuRh2.

Values from the calculation:
ΔH_f (0 K): 1.65 eV/atom
magnetic moment: 1.2 μB/cell
Fermi-level density of states: 4.87 states/eV/f.u.

Structure (CIF):
```
data_TiInRuRh2
_cell_length_a 4.746
_cell_length_b 4.746
_cell_length_c 4.949
_cell_angle_alpha 90.00
_cell_angle_beta 90.00
_cell_angle_gamma 90.00
_symmetry_space_group_name_H-M 'P 4/m m m'
_symmetry_Int_Tables_number 123
_symmetry_space_group_name_Hall '-P 4 2'
loop_
_atom_site_label
_atom_site_type_symbol
_atom_site_fract_x
_atom_site_fract_y
_atom_site_fract_z
_atom_site_occupancy
Ti1 Ti 0.000 0.000 0.000 1
In1 In 0.000 0.000 0.500 1
Ru1 Ru 0.500 0.500 0.000 1
Rh1 Rh 0.000 0.500 0.500 1
```

=====

The following is a DFT calculation (PBE-GGA) of an optimized crystal structure of Pm6Tl2O.

Values from the calculation:
magnetic moment: 0.0 μB/cell
Fermi-level density of states: 5.80 states/eV/f.u.
relative energy among the computed polymorphs: 0.000 eV per formula unit

Structure (CIF):
```
data_Pm6Tl2O
_cell_length_a 10.005
_cell_length_b 10.005
_cell_length_c 10.005
_cell_angle_alpha 90.00
_cell_angle_beta 90.00
_cell_angle_gamma 90.00
_symmetry_space_group_name_H-M 'F m -3 m'
_symmetry_Int_Tables_number 225
_symmetry_space_group_name_Hall '-F 4 2 3'
loop_
_atom_site_label
_atom_site_type_symbol
_atom_site_fract_x
_atom_site_fract_y
_atom_site_fract_z
_atom_site_occupancy
Pm1 Pm 0.000 0.000 0.246 1
Tl1 Tl 0.250 0.250 0.250 1
O1 O 0.000 0.000 0.000 1
```

=====

The following is a DFT calculation (PBE-GGA) of an optimized crystal structure of CrCoIr2.

Values from the calculation:
ΔH_f (0 K): -0.06 eV/atom
magnetic moment: 1.3 μB/cell
Fermi-level density of states: 4.37 states/eV/f.u.

Structure (CIF):
```
data_CrCoIr2
_cell_length_a 3.994
_cell_length_b 2.671
_cell_length_c 9.675
_cell_angle_alpha 90.00
_cell_angle_beta 90.00
_cell_angle_gamma 90.00
_symmetry_space_group_name_H-M 'A m m 2'
_symmetry_Int_Tables_number 38
loop_
_symmetry_equiv_pos_as_xyz
'x,y,z'
'-x,-y,z'
'-x,y,z'
'x,-y,z'
'x,y+1/2,z+1/2'
'-x,-y+1/2,z+1/2'
'-x,y+1/2,z+1/2'
'x,-y+1/2,z+1/2'
loop_
_atom_site_label
_atom_site_type_symbol
_atom_site_fract_x
_atom_site_fract_y
_atom_site_fract_z
_atom_site_occupancy
Cr1 Cr 0.000 0.000 0.000 1
Co1 Co 0.500 0.000 0.871 1
Ir1 Ir 0.000 0.000 0.270 1
Ir2 Ir 0.500 0.000 0.606 1
```

=====

The following is a DFT calculation (PBE-GGA) of an optimized crystal structure of LiSm2Re.

Values from the calculation:
ΔH_f (0 K): 0.15 eV/atom
magnetic moment: 0.0 μB/cell
Fermi-level density of states: 2.76 states/eV/f.u.
relative energy among the computed polymorphs: 0.065 eV per formula unit

Structure (CIF):
```
data_LiSm2Re
_cell_length_a 3.516
_cell_length_b 3.516
_cell_length_c 8.161
_cell_angle_alpha 90.00
_cell_angle_beta 90.00
_cell_angle_gamma 90.00
_symmetry_space_group_name_H-M 'P 4/m m m'
_symmetry_Int_Tables_number 123
_symmetry_space_group_name_Hall '-P 4 2'
loop_
_atom_site_label
_atom_site_type_symbol
_atom_site_fract_x
_atom_site_fract_y
_atom_site_fract_z
_atom_site_occupancy
Li1 Li 0.000 0.000 0.000 1
Sm1 Sm 0.500 0.500 0.295 1
Re1 Re 0.000 0.000 0.500 1
```

=====

The following is a DFT calculation (PBE-GGA) of an optimized crystal structure of NdDy4In3.

Values from the calculation:
ΔH_f (0 K): -0.31 eV/atom
magnetic moment: 5.4 μB/cell
Fermi-level density of states: 10.11 states/eV/f.u.
relative energy among the computed polymorphs: 0.000 eV per formula unit

Structure (CIF):
```
data_NdDy4In3
_cell_length_a 5.3778
_cell_length_b 5.3778
_cell_length_c 27.2850
_cell_angle_alpha 90.00
_cell_angle_beta 90.00
_cell_angle_gamma 120.00
_symmetry_space_group_name_H-M 'R -3 m'
_symmetry_Int_Tables_number 166
_symmetry_space_group_name_Hall '-R 3 2"'
loop_
_atom_site_label
_atom_site_type_symbol
_atom_site_fract_x
_atom_site_fract_y
_atom_site_fract_z
_atom_site_occupancy
Nd1 Nd 0.0000 0.0000 0.0000 1
Dy1 Dy 0.0000 0.0000 0.1302 1
Dy2 Dy 0.0000 0.0000 0.3865 1
In1 In 0.0000 0.0000 0.2611 1
In2 In 0.0000 0.0000 0.5000 1
```

=====

The following is a DFT calculation (PBE-GGA) of an optimized crystal structure of LiCa2GaF.

Values from the calculation:
magnetic moment: 0.0 μB/cell
Fermi-level density of states: 1.76 states/eV/f.u.
electronic total energy: -17.5 eV/cell

Structure (CIF):
```
data_LiCa2GaF
_cell_length_a 5.077
_cell_length_b 5.077
_cell_length_c 3.935
_cell_angle_alpha 90.00
_cell_angle_beta 90.00
_cell_angle_gamma 90.00
_symmetry_space_group_name_H-M 'P 4/m m m'
_symmetry_Int_Tables_number 123
_symmetry_space_group_name_Hall '-P 4 2'
loop_
_atom_site_label
_atom_site_type_symbol
_atom_site_fract_x
_atom_site_fract_y
_atom_site_fract_z
_atom_site_occupancy
Li1 Li 0.000 0.000 0.000 1
Ca1 Ca 0.000 0.500 0.500 1
Ga1 Ga 0.500 0.500 0.000 1
F1 F 0.000 0.000 0.500 1
```

=====

The following is a DFT calculation (PBE-GGA) of an optimized crystal structure of La8ErTm3.

Values from the calculation:
ΔH_f (0 K): 0.34 eV/atom
magnetic moment: 0.0 μB/cell
Fermi-level density of states: 20.46 states/eV/f.u.

Structure (CIF):
```
data_La8ErTm3
_cell_length_a 6.668
_cell_length_b 11.195
_cell_length_c 11.954
_cell_angle_alpha 90.00
_cell_angle_beta 90.00
_cell_angle_gamma 90.00
_symmetry_space_group_name_H-M 'I 2 2 2'
_symmetry_Int_Tables_number 23
loop_
_symmetry_equiv_pos_as_xyz
'x,y,z'
'-x,-y,z'
'x,-y,-z'
'-x,y,-z'
'x+1/2,y+1/2,z+1/2'
'-x+1/2,-y+1/2,z+1/2'
'x+1/2,-y+1/2,-z+1/2'
'-x+1/2,y+1/2,-z+1/2'
loop_
_atom_site_label
_atom_site_type_symbol
_atom_site_fract_x
_atom_site_fract_y
_atom_site_fract_z
_atom_site_occupancy
La1 La 0.000 0.157 0.250 1
La2 La 0.249 0.252 0.470 1
Er1 Er 0.000 0.000 0.500 1
Tm1 Tm 0.000 0.000 0.000 1
Tm2 Tm 0.000 0.500 0.256 1
```